Entry 1:
Density functional theory data (PBE) for CaLa2TlFe after structural relaxation.

a b c (Å): 5.252 5.252 5.393
angles (deg): 90.00 90.00 90.00
Sites, in units of the cell vectors:
Fe 0.000 0.000 0.000
La 0.500 0.000 0.000
La 0.000 0.500 0.000
Ca 0.500 0.500 0.500
Tl 0.000 0.000 0.500

Output
DFT total energy in eV per atom: -4.58
Polymorph energy (0 for the lowest one) in meV per atom: 17.6
DFT formation energy in eV/atom: -0.04
Spin magnetization in μB per formula unit: 0.002
Density in g cm⁻³: 6.45

=====

Entry 2:
Density functional theory data (PBE) for ZrIn3C after structural relaxation.

a b c (Å): 5.673 5.673 5.673
angles (deg): 90.00 90.00 90.00
Sites, in units of the cell vectors:
In 0.000 0.500 0.000
Zr 0.000 0.000 0.000
In 0.500 0.000 0.000
C 0.500 0.500 0.500
In 0.000 0.000 0.500

Output
DFT total energy in eV per atom: -3.32
Polymorph energy (0 for the lowest one) in meV per atom: 992.7
DFT formation energy in eV/atom: 1.88
Spin magnetization in μB per formula unit: 0.264
Density in g cm⁻³: 4.07

=====

Entry 3:
Density functional theory data (PBE) for FeNi2Br after structural relaxation.

a b c (Å): 4.976 4.976 4.976
angles (deg): 145.28 127.46 64.53
Sites, in units of the cell vectors:
Fe 0.250 0.750 0.500
Ni 0.500 0.500 0.000
Ni 0.000 0.000 0.000
Br 0.750 0.250 0.500

Output
DFT total energy in eV per atom: -4.82
Polymorph energy (0 for the lowest one) in meV per atom: 330.2
Energy relative to the elements, uncorrected in eV per atom: 0.60
Spin magnetization in μB per formula unit: 3.972
Density in g cm⁻³: 7.64

=====

Entry 4:
Density functional theory data (PBE) for KBiPbCl6 after structural relaxation.

a b c (Å): 7.385 7.385 13.530
angles (deg): 90.00 90.00 120.00
Sites, in units of the cell vectors:
Cl 0.372 0.353 0.366
K 0.000 0.000 0.500
Pb 0.333 0.667 0.250
Bi 0.667 0.333 0.250
Cl 0.647 0.019 0.366
Cl 0.647 0.628 0.134
Cl 0.981 0.628 0.366
Cl 0.353 0.372 0.866
Cl 0.019 0.647 0.866
Pb 0.667 0.333 0.750
Cl 0.981 0.353 0.134
Cl 0.019 0.372 0.634
Cl 0.628 0.647 0.634
Bi 0.333 0.667 0.750
Cl 0.372 0.019 0.134
Cl 0.353 0.981 0.634
Cl 0.628 0.981 0.866
K 0.000 0.000 0.000

Output
DFT total energy in eV per atom: -3.49
Energy relative to the elements, uncorrected in eV per atom: -1.29
Spin magnetization in μB per formula unit: 0.000
Density in g cm⁻³: 3.47

=====

Entry 5:
Density functional theory data (PBE) for MgTl2Cl after structural relaxation.

a b c (Å): 3.507 3.507 9.803
angles (deg): 90.00 90.00 110.47
Sites, in units of the cell vectors:
Tl 0.000 0.000 0.483
Cl 0.500 0.500 0.250
Tl 0.000 0.000 0.017
Mg 0.500 0.500 0.750

Output
DFT total energy in eV per atom: -2.31
Polymorph energy (0 for the lowest one) in meV per atom: 263.9
Energy relative to the elements, uncorrected in eV per atom: -0.26
Spin magnetization in μB per formula unit: 0.000
Density in g cm⁻³: 6.89

=====

Entry 6:
Density functional theory data (PBE) for Nd2YCd after structural relaxation.

a b c (Å): 3.669 3.669 11.265
angles (deg): 80.63 80.63 60.00
Sites, in units of the cell vectors:
Nd 0.255 0.255 0.236
Y 0.500 0.500 0.500
Cd 0.667 0.667 0.000
Nd 0.079 0.079 0.764

Output
DFT total energy in eV per atom: -4.28
Polymorph energy (0 for the lowest one) in meV per atom: 104.4
DFT formation energy in eV/atom: -0.05
Spin magnetization in μB per formula unit: 0.001
Density in g cm⁻³: 6.31

=====

Entry 7:
Density functional theory data (PBE) for SrSi2Pt after structural relaxation.

a b c (Å): 5.192 5.192 5.192
angles (deg): 130.58 130.58 72.48
Sites, in units of the cell vectors:
Si 0.000 0.000 0.000
Si 0.250 0.750 0.500
Pt 0.750 0.250 0.500
Sr 0.500 0.500 0.000

Output
DFT total energy in eV per atom: -4.60
Energy relative to the elements, uncorrected in eV per atom: 0.04
Spin magnetization in μB per formula unit: 0.000
Density in g cm⁻³: 7.13

=====

Entry 8:
Density functional theory data (PBE) for Be2ZnSe after structural relaxation.

a b c (Å): 3.296 3.655 5.215
angles (deg): 89.95 90.00 90.00
Sites, in units of the cell vectors:
Be 0.000 0.250 0.950
Zn 0.500 0.750 0.750
Se 0.500 0.250 0.250
Be 0.000 0.250 0.550

Output
DFT total energy in eV per atom: -2.84
Polymorph energy (0 for the lowest one) in meV per atom: 131.3
Energy relative to the elements, uncorrected in eV per atom: 0.21
Spin magnetization in μB per formula unit: 0.000
Density in g cm⁻³: 4.29